# MgTc2Ir

A geometry-optimized MgTc2Ir structure (GGA-PBE, the Alexandria database).

Values from the calculation:
total DFT energy (no corrections): -0.282 Ha/atom
symmetry: No. 166
E_form: 0.1283 eV/atom

Cell: 2.780 2.780 27.536 Å, 90.00 90.00 120.00°
Atoms (fractional coordinates):
Mg (0.000, 0.000, 0.000)
Mg (0.333, 0.667, 0.667)
Mg (0.667, 0.333, 0.333)
Tc (0.000, 0.000, 0.246)
Tc (0.000, 0.000, 0.754)
Tc (0.333, 0.667, 0.421)
Tc (0.333, 0.667, 0.912)
Tc (0.667, 0.333, 0.088)
Tc (0.667, 0.333, 0.579)
Ir (0.000, 0.000, 0.500)
Ir (0.333, 0.667, 0.167)
Ir (0.667, 0.333, 0.833)



# Ac3SmRh3

A geometry-optimized Ac3SmRh3 structure (GGA-PBE, the Alexandria database).

Values from the calculation:
total DFT energy (no corrections): -0.228 Ha/atom
ΔE to the lowest computed polymorph: 0 meV per atom
symmetry: No. 214
E_form: -0.6166 eV/atom

Cell: 10.331 10.331 10.331 Å, 109.47 109.47 109.47°
Atoms (fractional coordinates):
Ac (0.006, 0.013, 0.756)
Ac (0.006, 0.494, 0.250)
Ac (0.013, 0.756, 0.006)
Ac (0.250, 0.006, 0.494)
Ac (0.250, 0.744, 0.756)
Ac (0.487, 0.494, 0.744)
Ac (0.494, 0.250, 0.006)
Ac (0.494, 0.744, 0.487)
Ac (0.744, 0.487, 0.494)
Ac (0.744, 0.756, 0.250)
Ac (0.756, 0.006, 0.013)
Ac (0.756, 0.250, 0.744)
Sm (0.000, 0.250, 0.500)
Sm (0.250, 0.250, 0.250)
Sm (0.250, 0.500, 0.000)
Sm (0.500, 0.000, 0.250)
Rh (0.248, 0.750, 0.252)
Rh (0.248, 0.998, 0.997)
Rh (0.252, 0.248, 0.750)
Rh (0.252, 0.503, 0.502)
Rh (0.502, 0.252, 0.503)
Rh (0.502, 0.750, 0.998)
Rh (0.503, 0.502, 0.252)
Rh (0.750, 0.252, 0.248)
Rh (0.750, 0.998, 0.502)
Rh (0.997, 0.248, 0.998)
Rh (0.998, 0.502, 0.750)
Rh (0.998, 0.997, 0.248)



# Nd2Dy2Y7

A geometry-optimized Nd2Dy2Y7 structure (GGA-PBE, the Alexandria database).

Values from the calculation:
total DFT energy (no corrections): -0.208 Ha/atom
ΔE to the lowest computed polymorph: 0 meV per atom
symmetry: No. 12
E_form: 0.1570 eV/atom

Cell: 8.106 8.106 6.081 Å, 105.80 105.80 92.24°
Atoms (fractional coordinates):
Nd (0.212, 0.788, 0.000)
Nd (0.788, 0.212, 0.000)
Dy (0.233, 0.233, 0.084)
Dy (0.767, 0.767, 0.916)
Y (0.000, 0.000, 0.500)
Y (0.065, 0.589, 0.324)
Y (0.408, 0.408, 0.694)
Y (0.411, 0.935, 0.676)
Y (0.589, 0.065, 0.324)
Y (0.592, 0.592, 0.306)
Y (0.935, 0.411, 0.676)



# Al2CrRu3

A geometry-optimized Al2CrRu3 structure (GGA-PBE, the Alexandria database).

Values from the calculation:
total DFT energy (no corrections): -0.292 Ha/atom
symmetry: No. 65
E_form: -0.4542 eV/atom

Cell: 4.235 12.662 2.990 Å, 90.00 90.00 90.00°
Atoms (fractional coordinates):
Al (0.000, 0.166, 0.000)
Al (0.000, 0.834, 0.000)
Al (0.500, 0.334, 0.000)
Al (0.500, 0.666, 0.000)
Cr (0.000, 0.500, 0.000)
Cr (0.500, 0.000, 0.000)
Ru (0.000, 0.000, 0.500)
Ru (0.000, 0.336, 0.500)
Ru (0.000, 0.664, 0.500)
Ru (0.500, 0.164, 0.500)
Ru (0.500, 0.500, 0.500)
Ru (0.500, 0.836, 0.500)



# KFeBi2C

A geometry-optimized KFeBi2C structure (GGA-PBE, the Alexandria database).

Values from the calculation:
total DFT energy (no corrections): -0.169 Ha/atom
symmetry: No. 123
E_form: 0.6981 eV/atom

Cell: 5.557 5.557 3.758 Å, 90.00 90.00 90.00°
Atoms (fractional coordinates):
K (0.000, 0.000, 0.000)
Fe (0.500, 0.500, 0.000)
Bi (0.000, 0.500, 0.500)
Bi (0.500, 0.000, 0.500)
C (0.500, 0.500, 0.500)



# VRhW2N

A geometry-optimized VRhW2N structure (GGA-PBE, the Alexandria database).

Values from the calculation:
E_form (uncorrected): -1.23 eV/f.u.
total DFT energy (no corrections): -0.382 Ha/atom
symmetry: No. 123

Cell: 4.099 4.099 3.948 Å, 90.00 90.00 90.00°
Atoms (fractional coordinates):
V (0.000, 0.000, 0.000)
Rh (0.500, 0.500, 0.000)
W (0.000, 0.500, 0.500)
W (0.500, 0.000, 0.500)
N (0.000, 0.000, 0.500)



# TbSiF

A geometry-optimized TbSiF structure (GGA-PBE, the Alexandria database).

Values from the calculation:
E_form (uncorrected): -4.73 eV/f.u.
total DFT energy (no corrections): -0.204 Ha/atom
ΔE to the lowest computed polymorph: 570 meV per atom
symmetry: No. 187

Cell: 3.846 3.846 4.725 Å, 90.00 90.00 120.00°
Atoms (fractional coordinates):
Tb (0.000, 0.000, 0.000)
Si (0.667, 0.333, 0.500)
F (0.333, 0.667, 0.000)



# InSn4Pd7

A geometry-optimized InSn4Pd7 structure (GGA-PBE, the Alexandria database).

Values from the calculation:
total DFT energy (no corrections): -0.182 Ha/atom
symmetry: No. 12
E_form: -0.3727 eV/atom

Cell: 6.029 6.029 9.756 Å, 117.29 117.29 49.31°
Atoms (fractional coordinates):
In (0.000, 0.000, 0.000)
Sn (0.244, 0.244, 0.661)
Sn (0.409, 0.409, 0.225)
Sn (0.591, 0.591, 0.775)
Sn (0.756, 0.756, 0.339)
Pd (0.073, 0.073, 0.324)
Pd (0.211, 0.211, 0.913)
Pd (0.364, 0.364, 0.477)
Pd (0.500, 0.500, 0.000)
Pd (0.636, 0.636, 0.523)
Pd (0.789, 0.789, 0.087)
Pd (0.927, 0.927, 0.676)



# Fe3PdW

A geometry-optimized Fe3PdW structure (GGA-PBE, the Alexandria database).

Values from the calculation:
total DFT energy (no corrections): -0.255 Ha/atom
ΔE to the lowest computed polymorph: 284 meV per atom
symmetry: No. 221
E_form: 1.7718 eV/atom

Cell: 4.522 4.522 4.522 Å, 90.00 90.00 90.00°
Atoms (fractional coordinates):
Fe (0.000, 0.000, 0.500)
Fe (0.000, 0.500, 0.000)
Fe (0.500, 0.000, 0.000)
Pd (0.000, 0.000, 0.000)
W (0.500, 0.500, 0.500)



Question: Which value of total DFT energy (no corrections) does entry 6 give?
Answer: -0.382 Ha/atom



Question: Among the records above, which one has the highest total DFT energy (no corrections)?
Answer: KFeBi2C



Question: Which of these has the highest total DFT energy (no corrections)?
Answer: KFeBi2C